Material: YHg3Pd
Method: DFT, PBE-GGA
State: optimized geometry

a b c (Å): 4.9211 10.1899 9.0644
angles (deg): 90.00 90.00 90.00
Sites, in units of the cell vectors:
Hg (0.2500, 0.0628, 0.3971)
Hg (0.7500, 0.4372, 0.8971)
Hg (0.7500, 0.9372, 0.6029)
Hg (0.2500, 0.8644, 0.1574)
Hg (0.7500, 0.5608, 0.3405)
Hg (0.7500, 0.6356, 0.6574)
Hg (0.7500, 0.1356, 0.8426)
Hg (0.7500, 0.0608, 0.1595)
Hg (0.2500, 0.9392, 0.8405)
Hg (0.2500, 0.5628, 0.1029)
Hg (0.2500, 0.3644, 0.3426)
Hg (0.2500, 0.4392, 0.6595)
Y (0.2500, 0.2515, 0.0131)
Y (0.2500, 0.7515, 0.4869)
Y (0.7500, 0.7485, 0.9869)
Y (0.7500, 0.2485, 0.5131)
Pd (0.2500, 0.1707, 0.6831)
Pd (0.7500, 0.3293, 0.1831)
Pd (0.2500, 0.6707, 0.8169)
Pd (0.7500, 0.8293, 0.3169)

Output
SG: Pnma, No. 62
Spin magnetization: 0.00 μB/f.u.
Formation enthalpy at 0 K: -368.6 meV per atom
Excess energy over the best structure of this formula in the dataset: 0 meV per atom